# Pr6YSc, relaxed, DFT PBE
data_Pr6YSc
_cell_length_a 5.142
_cell_length_b 5.142
_cell_length_c 10.294
_cell_angle_alpha 90.00
_cell_angle_beta 90.00
_cell_angle_gamma 90.00
_space_group_name_H-M_alt 'P 4/m m m'
_space_group_IT_number 123
_space_group_name_Hall '-P 4 2'
loop_
_atom_site_label
_atom_site_type_symbol
_atom_site_fract_x
_atom_site_fract_y
_atom_site_fract_z
Pr1 Pr 0.000 0.000 0.000
Pr2 Pr 0.000 0.000 0.500
Pr3 Pr 0.000 0.500 0.245
Y1 Y 0.500 0.500 0.500
Sc1 Sc 0.500 0.500 0.000
# * E_form: 0.026 eV/atom
# * spin magnetization: 0.0 μB/cell
# * N(E_F): 1.432 states/eV/atom